[1]
! Fe2Cl3, optimized geometry, DFT PBE-GGA; values from VASP
! DOS(E_F)	0.94	states/eV/atom
! density	3.442	g/cm3
! energy above the most stable polymorph in this dataset	52	meV/atom
! energy relative to the elements, uncorrected	-1.86	eV/f.u.
! E_tot	-4.865	eV per atom
&SYSTEM
  ibrav = 0, nat = 5, ntyp = 2
/
ATOMIC_SPECIES
Fe 55.84 Fe.upf
Cl 35.45 Cl.upf
CELL_PARAMETERS angstrom
1.788 1.032 9.503
-1.788 1.032 9.503
0.000 -2.064 9.503
ATOMIC_POSITIONS crystal
Fe 0.106 0.106 0.106
Fe 0.894 0.894 0.894
Cl 0.269 0.269 0.269
Cl 0.500 0.500 0.500
Cl 0.731 0.731 0.731

[2]
! FeCl, optimized geometry, DFT PBE-GGA; values from VASP
! DOS(E_F)	1.11	states/eV/atom
! density	4.597	g/cm3
! energy relative to the elements, uncorrected	0.66	eV/f.u.
! E_tot	-4.823	eV per atom
&SYSTEM
  ibrav = 0, nat = 4, ntyp = 2
/
ATOMIC_SPECIES
Fe 55.84 Fe.upf
Cl 35.45 Cl.upf
CELL_PARAMETERS angstrom
-1.730 1.730 5.511
1.730 -1.730 5.511
1.730 1.730 -5.511
ATOMIC_POSITIONS crystal
Fe 0.375 0.625 0.750
Fe 0.625 0.375 0.250
Cl 0.125 0.875 0.250
Cl 0.875 0.125 0.750

[3]
! FeCl, optimized geometry, DFT PBE-GGA; values from VASP
! DOS(E_F)	0.34	states/eV/atom
! density	3.824	g/cm3
! energy relative to the elements, uncorrected	-0.14	eV/f.u.
! E_tot	-5.227	eV per atom
&SYSTEM
  ibrav = 0, nat = 4, ntyp = 2
/
ATOMIC_SPECIES
Fe 55.84 Fe.upf
Cl 35.45 Cl.upf
CELL_PARAMETERS angstrom
-1.526 1.535 8.465
1.526 -1.535 8.465
1.526 1.535 -8.465
ATOMIC_POSITIONS crystal
Fe 0.441 0.191 0.250
Fe 0.559 0.809 0.750
Cl 0.136 0.386 0.750
Cl 0.864 0.614 0.250

[4]
! Ga2FeCl, optimized geometry, DFT PBE-GGA; values from VASP
! DOS(E_F)	0.36	states/eV/atom
! density	5.077	g/cm3
! energy relative to the elements, uncorrected	1.59	eV/f.u.
! E_tot	-3.693	eV per atom
&SYSTEM
  ibrav = 0, nat = 4, ntyp = 3
/
ATOMIC_SPECIES
Ga 69.72 Ga.upf
Fe 55.84 Fe.upf
Cl 35.45 Cl.upf
CELL_PARAMETERS angstrom
0.000 3.354 3.354
3.354 0.000 3.354
3.354 3.354 0.000
ATOMIC_POSITIONS crystal
Ga 0.250 0.250 0.250
Ga 0.750 0.750 0.750
Fe 0.000 0.000 0.000
Cl 0.500 0.500 0.500